The following is a DFT calculation (PBE) of KNaIN2 after structural relaxation.

For the energy relative to the elements, uncorrected, the calculation gives 1.02 eV/atom. Its magnetic moment is 5.0 Bohr magnetons per cell.

The structure belongs to space group P4/mmm (No. 123); the cell edges are 4.9857, 4.9857 and 6.4398 Å and the angles 90.00°, 90.00° and 90.00°. The distinct sites, in fractional coordinates, are K at (0.0000, 0.0000, 0.0000), Na at (0.5000, 0.5000, 0.5000), I at (0.5000, 0.5000, 0.0000) and N at (0.0000, 0.5000, 0.5000).